1.
A plane-wave DFT calculation with PBE was carried out for a relaxed structure of Y2HoSb3.

Properties
* calculated volume: 29.78 A^3/atom
* ΔE_f (raw): -1149 meV/atom

Lattice parameters (Å, degrees): 4.3844 6.1965 7.5929 114.08 106.78 90.00
Fractional coordinates of all 6 atoms:
Sb1 0.8343 0.3343 0.1687
Ho1 0.5000 0.5000 0.5000
Sb2 0.1657 0.6657 0.8313
Y1 0.8330 0.8330 0.1661
Y2 0.1670 0.1670 0.8339
Sb3 0.5000 0.0000 0.5000

---

2.
A plane-wave DFT calculation with PBE was carried out for a relaxed structure of SrTcPb3.

Properties
* calculated volume: 42.93 A^3/atom
* energy of formation from the pure elements: 1.612 eV per atom

Lattice parameters (Å, degrees): 5.9876 5.9876 5.9876 90.00 90.00 90.00
Fractional coordinates of all 5 atoms:
Tc1 0.5000 0.5000 0.5000
Pb1 0.0000 0.5000 0.0000
Sr1 0.0000 0.0000 0.0000
Pb2 0.0000 0.0000 0.5000
Pb3 0.5000 0.0000 0.0000

---

3.
A plane-wave DFT calculation with PBE was carried out for a relaxed structure of RbP3C.

Properties
* calculated volume: 31.76 A^3/atom
* energy of formation from the pure elements: 3.578 eV per atom

Lattice parameters (Å, degrees): 5.4150 5.4150 5.4150 90.00 90.00 90.00
Fractional coordinates of all 5 atoms:
Rb1 0.0000 0.0000 0.0000
P1 0.5000 0.0000 0.0000
C1 0.5000 0.5000 0.5000
P2 0.0000 0.5000 0.0000
P3 0.0000 0.0000 0.5000

---

4.
A plane-wave DFT calculation with PBE was carried out for a relaxed structure of CuTcMo2.

Properties
* calculated volume: 14.77 A^3/atom
* energy of formation from the pure elements: 0.290 eV per atom

Lattice parameters (Å, degrees): 4.3713 4.3713 4.3713 60.00 60.00 60.00
Fractional coordinates of all 4 atoms:
Mo1 0.2500 0.2500 0.2500
Cu1 0.5000 0.5000 0.5000
Tc1 0.7500 0.7500 0.7500
Mo2 0.0000 0.0000 0.0000

---

5.
A plane-wave DFT calculation with PBE was carried out for a relaxed structure of Nd12Sm5Tm2.

Properties
* calculated volume: 34.93 A^3/atom
* energy of formation from the pure elements: 0.124 eV per atom

Lattice parameters (Å, degrees): 10.6865 9.3730 8.0807 87.11 90.00 124.75
Fractional coordinates of all 19 atoms:
Nd1 0.3807 0.2123 0.6141
Tm1 0.2688 0.0000 0.0000
Nd2 0.4132 0.3722 0.2071
Nd3 0.5527 0.1055 0.2902
Sm1 0.0000 0.0000 0.5000
Tm2 0.7312 0.0000 0.0000
Nd4 0.0410 0.6278 0.7929
Nd5 0.5868 0.6278 0.7929
Sm2 0.3436 0.6872 0.0894
Sm3 0.6564 0.3128 0.9106
Nd6 0.9590 0.3722 0.2071
Nd7 0.4473 0.8945 0.7098
Nd8 0.1301 0.2603 0.8981
Sm4 0.7582 0.5164 0.4820
Nd9 0.8699 0.7397 0.1019
Nd10 0.6193 0.7877 0.3859
Nd11 0.1684 0.7877 0.3859
Sm5 0.2418 0.4836 0.5180
Nd12 0.8316 0.2123 0.6141

---

6.
A plane-wave DFT calculation with PBE was carried out for a relaxed structure of Li4Dy3Sn4.

Properties
* calculated volume: 22.30 A^3/atom
* energy of formation from the pure elements: -0.609 eV per atom

Lattice parameters (Å, degrees): 4.5880 7.1057 8.6308 114.31 105.41 90.00
Fractional coordinates of all 11 atoms:
Sn1 0.2149 0.7149 0.4297
Dy1 0.1271 0.1271 0.2541
Sn2 0.5000 0.2026 0.0000
Dy2 0.8729 0.8729 0.7459
Li1 0.6734 0.8631 0.3469
Dy3 0.0000 0.5000 0.0000
Sn3 0.7851 0.2851 0.5703
Li2 0.3266 0.5163 0.6531
Li3 0.6734 0.4837 0.3469
Li4 0.3266 0.1369 0.6531
Sn4 0.5000 0.7974 0.0000

---

7.
A plane-wave DFT calculation with PBE was carried out for a relaxed structure of ZnHg2Sb.

Properties
* calculated volume: 26.62 A^3/atom
* ΔE_f (raw): 80 meV/atom

Lattice parameters (Å, degrees): 4.4833 4.4833 8.0525 74.67 74.67 43.33
Fractional coordinates of all 4 atoms:
Hg1 0.7241 0.7241 0.7457
Sb1 0.5398 0.5398 0.4589
Zn1 0.3045 0.3045 0.2921
Hg2 0.9316 0.9316 0.0033

---

8.
A plane-wave DFT calculation with PBE was carried out for a relaxed structure of K2NbPbS4.

Properties
* calculated volume: 31.80 A^3/atom
* ΔE_f (raw): -906 meV/atom

Lattice parameters (Å, degrees): 6.9139 6.9139 6.9139 108.80 109.81 109.81
Fractional coordinates of all 8 atoms:
K1 0.5000 0.7500 0.2500
Nb1 0.0000 0.5000 0.5000
S1 0.0232 0.1817 0.5218
K2 0.0000 0.0000 0.0000
S2 0.3402 0.8416 0.8183
S3 0.6598 0.4782 0.5014
S4 0.9768 0.4986 0.1584
Pb1 0.5000 0.2500 0.7500

---

9.
A plane-wave DFT calculation with PBE was carried out for a relaxed structure of LaY2Ho.

Properties
* calculated volume: 33.66 A^3/atom
* energy of formation from the pure elements: 0.111 eV per atom

Lattice parameters (Å, degrees): 5.7528 5.7528 5.7528 60.00 60.00 60.00
Fractional coordinates of all 4 atoms:
Y1 0.2500 0.2500 0.2500
La1 0.5000 0.5000 0.5000
Ho1 0.0000 0.0000 0.0000
Y2 0.7500 0.7500 0.7500

---

10.
A plane-wave DFT calculation with PBE was carried out for a relaxed structure of Li2AcAs.

Properties
* calculated volume: 20.95 A^3/atom
* energy of formation from the pure elements: -0.327 eV per atom

Lattice parameters (Å, degrees): 4.9121 4.9121 4.9121 60.00 60.00 60.00
Fractional coordinates of all 4 atoms:
Ac1 0.0000 0.0000 0.0000
Li1 0.2500 0.2500 0.2500
Li2 0.7500 0.7500 0.7500
As1 0.5000 0.5000 0.5000

---

11.
A plane-wave DFT calculation with PBE was carried out for a relaxed structure of Cd5Ag2Hg.

Properties
* calculated volume: 21.72 A^3/atom
* energy of formation from the pure elements: 0.034 eV per atom

Lattice parameters (Å, degrees): 7.5251 7.5251 8.1229 117.59 117.59 90.00
Fractional coordinates of all 16 atoms:
Cd1 0.9936 0.4936 0.6843
Cd2 0.8093 0.0064 0.3157
Cd3 0.0064 0.5064 0.3157
Cd4 0.0000 0.0000 0.0000
Ag1 0.8594 0.6406 0.0000
Ag2 0.6406 0.1406 0.0000
Cd5 0.3093 0.8093 0.3157
Ag3 0.3594 0.8594 0.0000
Hg1 0.7500 0.7500 0.5000
Cd6 0.4936 0.6907 0.6843
Hg2 0.2500 0.2500 0.5000
Ag4 0.1406 0.3594 0.0000
Cd7 0.5000 0.5000 0.0000
Cd8 0.1907 0.9936 0.6843
Cd9 0.5064 0.3093 0.3157
Cd10 0.6907 0.1907 0.6843

---

12.
A plane-wave DFT calculation with PBE was carried out for a relaxed structure of MgSn3Pt.

Properties
* calculated volume: 29.36 A^3/atom
* energy of formation from the pure elements: 0.102 eV per atom

Lattice parameters (Å, degrees): 5.2751 5.2751 5.2751 90.00 90.00 90.00
Fractional coordinates of all 5 atoms:
Sn1 0.5000 0.0000 0.0000
Mg1 0.5000 0.5000 0.5000
Sn2 0.0000 0.5000 0.0000
Sn3 0.0000 0.0000 0.5000
Pt1 0.0000 0.0000 0.0000

---

13.
A plane-wave DFT calculation with PBE was carried out for a relaxed structure of SrUPt2.

Properties
* calculated volume: 23.63 A^3/atom
* energy of formation from the pure elements: -0.677 eV per atom

Lattice parameters (Å, degrees): 3.5371 3.5371 7.5549 90.00 90.00 90.00
Fractional coordinates of all 4 atoms:
Pt1 0.0000 0.0000 0.2024
Pt2 0.0000 0.0000 0.7976
U1 0.5000 0.5000 0.0000
Sr1 0.5000 0.5000 0.5000

---

14.
A plane-wave DFT calculation with PBE was carried out for a relaxed structure of NiAgOs2.

Properties
* calculated volume: 14.61 A^3/atom
* energy of formation from the pure elements: 0.421 eV per atom

Lattice parameters (Å, degrees): 5.5564 5.5564 4.3883 66.60 66.60 28.22
Fractional coordinates of all 4 atoms:
Ag1 0.7500 0.7500 0.7500
Os1 0.5345 0.5345 0.4654
Os2 0.9655 0.9655 0.0346
Ni1 0.2500 0.2500 0.2500

---

15.
A plane-wave DFT calculation with PBE was carried out for a relaxed structure of Dy3TmSc3.

Properties
* calculated volume: 29.50 A^3/atom
* energy of formation from the pure elements: 0.155 eV per atom

Lattice parameters (Å, degrees): 5.9199 5.9199 14.0299 77.82 77.82 60.00
Fractional coordinates of all 14 atoms:
Dy1 0.5966 0.9306 0.2086
Sc1 0.1972 0.8642 0.4068
Dy2 0.0694 0.7358 0.7914
Tm1 0.6667 0.6667 0.0000
Sc2 0.8028 0.1358 0.5932
Sc3 0.1358 0.4682 0.5932
Dy3 0.4034 0.0694 0.7914
Sc4 0.8642 0.5318 0.4068
Dy4 0.9306 0.2642 0.2086
Dy5 0.2642 0.5966 0.2086
Sc5 0.5318 0.1972 0.4068
Tm2 0.3333 0.3333 0.0000
Sc6 0.4682 0.8028 0.5932
Dy6 0.7358 0.4034 0.7914

---

16.
A plane-wave DFT calculation with PBE was carried out for a relaxed structure of AlPtO2.

Properties
* calculated volume: 11.13 A^3/atom
* ΔE_f (raw): -1025 meV/atom

Lattice parameters (Å, degrees): 4.3003 4.3003 5.6941 67.81 67.81 90.00
Fractional coordinates of all 8 atoms:
O1 0.6953 0.6953 0.6095
Al1 0.2500 0.7500 0.5000
O2 0.4453 0.9453 0.1095
Al2 0.5000 0.5000 0.0000
O3 0.0547 0.5547 0.8905
O4 0.3047 0.3047 0.3905
Pt1 0.0000 0.0000 0.0000
Pt2 0.7500 0.2500 0.5000

---

17.
A plane-wave DFT calculation with PBE was carried out for a relaxed structure of PaPtPb.

Properties
* calculated volume: 24.27 A^3/atom
* energy of formation from the pure elements: -0.447 eV per atom

Lattice parameters (Å, degrees): 3.5239 3.5239 6.3712 106.05 106.05 90.00
Fractional coordinates of all 3 atoms:
Pa1 0.6951 0.6951 0.3902
Pb1 0.9880 0.9880 0.9760
Pt1 0.3169 0.3169 0.6337

---

18.
A plane-wave DFT calculation with PBE was carried out for a relaxed structure of LiMg2Pb.

Properties
* calculated volume: 24.49 A^3/atom
* energy of formation from the pure elements: -0.013 eV per atom

Lattice parameters (Å, degrees): 10.7326 10.7326 10.7326 17.54 17.54 17.54
Fractional coordinates of all 4 atoms:
Mg1 0.0060 0.0060 0.0060
Pb1 0.2500 0.2500 0.2500
Li1 0.7500 0.7500 0.7500
Mg2 0.4940 0.4940 0.4940

---

19.
A plane-wave DFT calculation with PBE was carried out for a relaxed structure of NpU2Se5.

Properties
* calculated volume: 22.71 A^3/atom
* ΔE_f (raw): -1113 meV/atom

Lattice parameters (Å, degrees): 7.3802 7.3802 8.4707 115.83 115.83 90.00
Fractional coordinates of all 16 atoms:
Se1 0.1811 0.0225 0.7036
Se2 0.0225 0.5225 0.7036
U1 0.6174 0.1174 0.0000
U2 0.1174 0.3826 0.0000
Np1 0.2500 0.2500 0.5000
Se3 0.3189 0.8189 0.2964
Np2 0.7500 0.7500 0.5000
U3 0.3826 0.8826 0.0000
Se4 0.6811 0.1811 0.7036
Se5 0.9775 0.4775 0.2964
Se6 0.8189 0.9775 0.2964
Se7 0.0000 0.0000 0.0000
Se8 0.5225 0.6811 0.7036
Se9 0.4775 0.3189 0.2964
U4 0.8826 0.6174 0.0000
Se10 0.5000 0.5000 0.0000

---

20.
A plane-wave DFT calculation with PBE was carried out for a relaxed structure of Ce6Bi3As2Se.

Properties
* calculated volume: 30.17 A^3/atom
* ΔE_f (raw): -1155 meV/atom

Lattice parameters (Å, degrees): 4.3725 8.8672 9.8872 104.07 102.77 90.00
Fractional coordinates of all 12 atoms:
As1 0.8333 0.6669 0.6667
Bi1 0.1657 0.8336 0.3315
Ce1 0.0064 0.2390 0.0128
Ce2 0.6624 0.0990 0.3248
Se1 0.5000 0.0000 0.0000
Ce3 0.6724 0.5694 0.3448
Bi2 0.5000 0.5000 0.0000
Ce4 0.3376 0.9010 0.6752
Ce5 0.9936 0.7610 0.9872
Bi3 0.8343 0.1664 0.6685
Ce6 0.3276 0.4306 0.6552
As2 0.1667 0.3331 0.3333

---

21.
A plane-wave DFT calculation with PBE was carried out for a relaxed structure of La10In2Tc3.

Properties
* calculated volume: 32.31 A^3/atom
* energy of formation from the pure elements: -0.111 eV per atom

Lattice parameters (Å, degrees): 7.7750 10.5452 13.2572 110.16 107.05 90.00
Fractional coordinates of all 30 atoms:
La1 0.4035 0.4726 0.3012
In1 0.2658 0.6874 0.5317
Tc1 0.8326 0.9922 0.6652
La2 0.0109 0.1694 0.0219
La3 0.5120 0.2212 0.0240
La4 0.1683 0.9463 0.7657
Tc2 0.6907 0.0000 0.0000
La5 0.2480 0.5000 0.0000
La6 0.8317 0.0537 0.2343
La7 0.5000 0.0000 0.5000
La8 0.4026 0.0537 0.2343
La9 0.1024 0.5274 0.6988
La10 0.0000 0.0000 0.5000
La11 0.8688 0.2528 0.7377
In2 0.3703 0.2528 0.7405
La12 0.5965 0.5274 0.6988
La13 0.8976 0.4726 0.3012
La14 0.9891 0.8306 0.9781
In3 0.6297 0.7472 0.2595
La15 0.7581 0.6909 0.5162
In4 0.7342 0.3126 0.4683
La16 0.2419 0.3091 0.4838
Tc3 0.3093 0.0000 0.0000
Tc4 0.9227 0.5491 0.8454
Tc5 0.1674 0.0078 0.3348
La17 0.7520 0.5000 0.0000
Tc6 0.0773 0.4509 0.1546
La18 0.5974 0.9463 0.7657
La19 0.4880 0.7788 0.9760
La20 0.1312 0.7472 0.2623

---

22.
A plane-wave DFT calculation with PBE was carried out for a relaxed structure of Ac2Hg3Pd6Pb.

Properties
* calculated volume: 26.09 A^3/atom
* energy of formation from the pure elements: -0.324 eV per atom

Lattice parameters (Å, degrees): 4.1582 4.1582 18.1046 90.00 90.00 90.00
Fractional coordinates of all 12 atoms:
Ac1 0.5000 0.5000 0.7975
Pd1 0.0000 0.5000 0.6010
Pd2 0.0000 0.5000 0.3990
Pb1 0.5000 0.5000 0.5000
Hg1 0.0000 0.0000 0.7015
Pd3 0.0000 0.0000 0.8528
Ac2 0.5000 0.5000 0.2025
Pd4 0.0000 0.0000 0.1472
Hg2 0.0000 0.0000 0.0000
Hg3 0.0000 0.0000 0.2985
Pd5 0.5000 0.0000 0.6010
Pd6 0.5000 0.0000 0.3990

---

23.
A plane-wave DFT calculation with PBE was carried out for a relaxed structure of GeH2WBr.

Properties
* total energy: -21.0 eV/cell
* calculated volume: 21.06 A^3/atom

Lattice parameters (Å, degrees): 3.5393 8.4067 3.5393 90.00 90.00 90.00
Fractional coordinates of all 5 atoms:
H1 0.5000 0.0000 0.0000
Ge1 0.0000 0.5000 0.0000
H2 0.0000 0.0000 0.5000
W1 0.5000 0.5000 0.5000
Br1 0.0000 0.0000 0.0000